(1)
SbRhPb2 | Alexandria via LeMat-Bulk | GGA-PBE | optimized geometry; symmetry = I4/mmm (139); ρ = 10.8 g/cm3; formation energy from raw total energies = 0.21 eV per atom; E = -18.035 eV per formula unit
1.0
-2.299 2.299 4.628
2.299 -2.299 4.628
2.299 2.299 -4.628
Sb Rh Pb
1 1 2
Direct
0.000 0.000 0.000
0.500 0.500 0.000
0.750 0.250 0.500
0.250 0.750 0.500



(2)
SbRhPb2 | Alexandria via LeMat-Bulk | GGA-PBE | optimized geometry; symmetry = C2/m (12); ρ = 10.7 g/cm3; formation energy from raw total energies = 0.31 eV per atom; E = -17.639 eV per formula unit
1.0
5.461 3.040 0.340
-5.461 3.040 0.340
0.000 1.511 3.162
Sb Rh Pb
1 1 2
Direct
0.000 0.000 0.500
0.500 0.500 0.500
0.500 0.000 0.000
0.000 0.500 0.000



(3)
SbRhPb2 | Alexandria via LeMat-Bulk | GGA-PBE | optimized geometry; symmetry = F-43m (216); ρ = 10.9 g/cm3; formation energy from raw total energies = 0.22 eV per atom; E = -18.027 eV per formula unit
1.0
1.581 2.392 4.287
-1.791 4.700 1.140
-3.255 0.631 3.951
Sb Rh Pb
1 1 2
Direct
0.250 0.250 0.250
0.500 0.500 0.500
0.000 0.000 0.000
0.750 0.750 0.750



(4)
SbRhPb2 | Alexandria via LeMat-Bulk | GGA-PBE | optimized geometry; symmetry = P4/mmm (123); ρ = 10.8 g/cm3; formation energy from raw total energies = 0.07 eV per atom; E = -18.617 eV per formula unit
1.0
-0.324 2.401 -2.311
-3.322 -0.048 0.416
0.697 6.131 6.272
Sb Rh Pb
1 1 2
Direct
0.500 0.500 0.500
0.500 0.500 0.000
0.000 0.000 0.804
0.000 0.000 0.196



(5)
SbRhPb2 | Alexandria via LeMat-Bulk | GGA-PBE | optimized geometry; symmetry = Cmmm (65); ρ = 10.8 g/cm3; formation energy from raw total energies = 0.27 eV per atom; E = -17.810 eV per formula unit
1.0
3.225 -4.276 0.000
3.225 4.276 0.000
0.000 0.000 3.569
Sb Rh Pb
1 1 2
Direct
0.500 0.500 0.500
0.000 0.000 0.500
0.500 0.000 0.000
0.000 0.500 0.000



(6)
SbRhPb2 | Alexandria via LeMat-Bulk | GGA-PBE | optimized geometry; symmetry = Immm (71); ρ = 10.1 g/cm3; formation energy from raw total energies = -0.04 eV per atom; E = -19.060 eV per formula unit
1.0
-1.746 2.116 7.106
1.746 -2.116 7.106
1.746 2.116 -7.106
Sb Rh Pb
1 1 2
Direct
0.500 0.000 0.500
0.000 0.500 0.500
0.829 0.829 0.000
0.171 0.171 0.000



(7)
SbRhPb2 | Alexandria via LeMat-Bulk | GGA-PBE | optimized geometry; symmetry = R-3m (166); ρ = 10.6 g/cm3; formation energy from raw total energies = 0.12 eV per atom; E = -18.423 eV per formula unit
1.0
-2.548 4.429 8.477
-2.879 1.119 9.403
0.214 2.647 9.534
Sb Rh Pb
1 1 2
Direct
0.000 0.000 0.000
0.500 0.500 0.500
0.765 0.765 0.765
0.235 0.235 0.235



(8)
Sb2Rh2Pb | Alexandria via LeMat-Bulk | GGA-PBE | optimized geometry; symmetry = I4/mmm (139); energy relative to the lowest polymorph listed for this composition = 0 meV per atom; ρ = 9.6 g/cm3; formation energy from raw total energies = -0.21 eV per atom; E = -27.689 eV per formula unit
1.0
-1.507 3.466 -2.266
-3.964 -0.508 1.859
-1.136 5.039 4.178
Pb Sb Rh
1 2 2
Direct
0.000 0.000 0.000
0.371 0.371 0.259
0.629 0.629 0.741
0.750 0.250 0.500
0.250 0.750 0.500



(9)
Sb12Rh4Pb | Alexandria via LeMat-Bulk | GGA-PBE | optimized geometry; symmetry = Im-3 (204); ρ = 8.2 g/cm3; formation energy from raw total energies = -0.34 eV per atom; E = -88.284 eV per formula unit
1.0
1.266 -3.586 -7.234
7.188 1.586 3.550
-4.361 -4.986 4.786
Sb Rh Pb
12 4 1
Direct
0.845 0.338 0.183
0.338 0.493 0.155
0.817 0.155 0.662
0.338 0.183 0.845
0.183 0.845 0.338
0.662 0.507 0.845
0.493 0.155 0.338
0.507 0.845 0.662
0.662 0.817 0.155
0.845 0.662 0.507
0.155 0.338 0.493
0.155 0.662 0.817
0.000 0.500 0.000
0.500 0.000 0.000
0.500 0.500 0.500
0.000 0.000 0.500
0.000 0.000 0.000



(10)
SbRh3Pb | Alexandria via LeMat-Bulk | GGA-PBE | optimized geometry; symmetry = Pm-3m (221); energy relative to the lowest polymorph listed for this composition = 0 meV per atom; ρ = 9.1 g/cm3; formation energy from raw total energies = 0.62 eV per atom; E = -26.786 eV per formula unit
1.0
4.885 0.000 0.000
0.000 4.885 0.000
0.000 0.000 4.885
Pb Sb Rh
1 1 3
Direct
0.500 0.500 0.500
0.000 0.000 0.000
0.000 0.500 0.000
0.000 0.000 0.500
0.500 0.000 0.000



(11)
SbRhPb2 | Alexandria via LeMat-Bulk | GGA-PBE | optimized geometry; symmetry = Imm2 (44); ρ = 10.4 g/cm3; formation energy from raw total energies = -0.01 eV per atom; E = -18.918 eV per formula unit
1.0
-1.695 2.425 6.231
1.695 -2.425 6.231
1.695 2.425 -6.231
Sb Rh Pb
1 1 2
Direct
0.682 0.182 0.500
0.517 0.517 0.000
0.992 0.992 0.000
0.309 0.809 0.500



(12)
SbRhPb2 | Alexandria via LeMat-Bulk | GGA-PBE | optimized geometry; symmetry = P4mm (99); ρ = 10.7 g/cm3; formation energy from raw total energies = -0.10 eV per atom; E = -19.309 eV per formula unit
1.0
3.378 0.000 0.000
0.000 3.378 0.000
0.000 0.000 8.666
Sb Rh Pb
1 1 2
Direct
0.500 0.500 0.684
0.000 0.000 0.531
0.000 0.000 0.985
0.500 0.500 0.300



(13)
Sb3RhPb | Alexandria via LeMat-Bulk | GGA-PBE | optimized geometry; symmetry = Pm-3m (221); energy relative to the lowest polymorph listed for this composition = 1300 meV per atom; ρ = 6.2 g/cm3; formation energy from raw total energies = 1.53 eV per atom; E = -15.773 eV per formula unit
1.0
-3.157 -0.795 -4.615
4.621 -1.426 -2.916
-0.755 -5.406 1.448
Pb Sb Rh
1 3 1
Direct
0.000 0.000 0.000
0.000 0.500 0.000
0.000 0.000 0.500
0.500 0.000 0.000
0.500 0.500 0.500



(14)
SbRhPb4 | Alexandria via LeMat-Bulk | GGA-PBE | optimized geometry; symmetry = F-43m (216); ρ = 9.9 g/cm3; formation energy from raw total energies = 0.61 eV per atom; E = -22.675 eV per formula unit
1.0
-2.594 2.059 5.360
-5.926 -1.580 1.442
-1.128 -4.034 4.707
Sb Rh Pb
1 1 4
Direct
0.000 0.000 0.000
0.750 0.750 0.750
0.874 0.375 0.375
0.375 0.375 0.874
0.375 0.874 0.375
0.375 0.375 0.375



(15)
SbRhPb2 | Alexandria via LeMat-Bulk | GGA-PBE | optimized geometry; symmetry = P2/m (10); ρ = 9.0 g/cm3; formation energy from raw total energies = 0.02 eV per atom; E = -18.825 eV per formula unit
1.0
-1.262 2.150 -3.372
-4.669 -1.663 0.687
-2.903 3.811 3.516
Sb Rh Pb
1 1 2
Direct
0.500 0.500 0.500
0.500 0.000 0.500
0.000 0.184 0.177
0.000 0.816 0.823



(16)
SbRhPb2 | Alexandria via LeMat-Bulk | GGA-PBE | optimized geometry; symmetry = Amm2 (38); ρ = 10.2 g/cm3; formation energy from raw total energies = -0.04 eV per atom; E = -19.038 eV per formula unit
1.0
-2.722 -1.044 -6.255
2.551 -3.410 5.430
-3.204 -0.139 1.418
Sb Rh Pb
1 1 2
Direct
0.303 0.697 0.500
0.151 0.849 0.000
0.929 0.071 0.000
0.601 0.399 0.500



(17)
Sb2RhPbSe | Alexandria via LeMat-Bulk | GGA-PBE | optimized geometry; symmetry = P4/mmm (123); ρ = 6.4 g/cm3; formation energy from raw total energies = 1.18 eV per atom; E = -16.908 eV per formula unit
1.0
-3.728 -1.045 -4.195
0.566 -4.960 0.732
-4.275 0.071 3.781
Pb Sb Rh Se
1 2 1 1
Direct
0.000 0.000 0.000
0.000 0.000 0.500
0.500 0.000 0.000
0.000 0.500 0.000
0.500 0.500 0.500



(18)
Sr2Sb3Rh4Pb | Alexandria via LeMat-Bulk | GGA-PBE | optimized geometry; symmetry = P-4m2 (115); ρ = 8.4 g/cm3; formation energy from raw total energies = -0.62 eV per atom; E = -55.043 eV per formula unit
1.0
4.576 0.000 0.000
0.000 4.576 0.000
0.000 0.000 10.933
Sr Sb Rh Pb
2 3 4 1
Direct
0.500 0.000 0.246
0.000 0.500 0.754
0.000 0.000 0.500
0.500 0.000 0.874
0.000 0.500 0.126
0.500 0.500 0.000
0.000 0.000 0.000
0.500 0.000 0.636
0.000 0.500 0.364
0.500 0.500 0.500



(19)
Sr2SbRhPb | Alexandria via LeMat-Bulk | GGA-PBE | optimized geometry; symmetry = P4/mmm (123); ρ = 4.6 g/cm3; formation energy from raw total energies = 0.48 eV per atom; E = -16.157 eV per formula unit
1.0
6.131 0.000 0.000
0.000 5.812 0.000
0.000 0.000 6.131
Pb Sb Rh Sr
1 1 1 2
Direct
0.000 0.500 0.000
0.000 0.000 0.000
0.500 0.500 0.500
0.000 0.000 0.500
0.500 0.000 0.000



(20)
Tc2SbRhPb | Alexandria via LeMat-Bulk | GGA-PBE | optimized geometry; symmetry = P4/mmm (123); ρ = 8.5 g/cm3; formation energy from raw total energies = 1.24 eV per atom; E = -29.717 eV per formula unit
1.0
-4.249 2.453 0.893
-1.419 -0.771 -4.633
-2.176 -4.270 1.378
Pb Sb Rh Tc
1 1 1 2
Direct
0.500 0.500 0.500
0.000 0.500 0.000
0.000 0.000 0.000
0.000 0.000 0.500
0.500 0.000 0.000



Number 1: magnetization 0.00 μB per formula unit. Number 2: magnetization 0.00 μB per formula unit. Number 3: magnetization 0.00 μB per formula unit. Number 4: magnetization 0.00 μB per formula unit. Number 5: magnetization 0.00 μB per formula unit. Number 6: magnetization 0.00 μB per formula unit. Number 7: magnetization 0.00 μB per formula unit. Number 8: magnetization 0.00 μB per formula unit. Number 9: magnetization 0.00 μB per formula unit. Number 10: magnetization 0.00 μB per formula unit. Number 11: magnetization 0.00 μB per formula unit. Number 12: magnetization 0.00 μB per formula unit. Number 13: magnetization 0.00 μB per formula unit. Number 14: magnetization 0.00 μB per formula unit. Number 15: magnetization 0.00 μB per formula unit. Number 16: magnetization 0.00 μB per formula unit. Number 17: magnetization 0.29 μB per formula unit. Number 18: magnetization 0.00 μB per formula unit. Number 19: magnetization 0.57 μB per formula unit. Number 20: magnetization 5.81 μB per formula unit.